No. 1
GdY2Mg: relaxed, GGA-PBE.

As for the calculated formation energy: 0.052 eV per atom. As for the crystal system: cubic. The energy above the most stable polymorph in this dataset comes out at 0.084 eV/atom.

It has space group Fm-3m (No. 225), with a = 7.8186 Å, b = 7.8186 Å, c = 7.8186 Å, α = 90.00°, β = 90.00° and γ = 90.00°. The inequivalent atoms are Gd at (0.0000, 0.0000, 0.0000), Y at (0.2500, 0.2500, 0.2500) and Mg at (0.0000, 0.0000, 0.5000).


No. 2
KCdInBrO: relaxed, GGA-PBE.

As for the crystal system: triclinic. The energy above the most stable polymorph in this dataset comes out at 0.068 eV/atom.

It has space group P1 (No. 1), with a = 3.7476 Å, b = 5.3861 Å, c = 7.5199 Å, α = 109.83°, β = 103.82° and γ = 90.08°. The inequivalent atoms are K at (0.0000, 0.0000, 0.0000), Cd at (0.7389, 0.5196, 0.4588), In at (0.2994, 0.1562, 0.5810), Br at (0.5046, 0.5031, 0.0097) and O at (0.8183, 0.9569, 0.6211).


No. 3
NpMnAl2: relaxed, GGA-PBE.

As for the calculated formation energy: -0.119 eV per atom. As for the crystal system: tetragonal.

It has space group P4/mmm (No. 123), with a = 2.6758 Å, b = 2.6758 Å, c = 8.4555 Å, α = 90.00°, β = 90.00° and γ = 90.00°. The inequivalent atoms are Np at (0.0000, 0.0000, 0.0000), Mn at (0.0000, 0.0000, 0.5000) and Al at (0.5000, 0.5000, 0.2885).


No. 4
Be4As3PbO12: relaxed, GGA-PBE.

As for the crystal system: trigonal. The value obtained for the electronic total energy is -6.23 eV/atom.

It has space group R32 (No. 155, hexagonal axes), with a = 9.9318 Å, b = 9.9318 Å, c = 7.4471 Å, α = 90.00°, β = 90.00° and γ = 120.00°. The inequivalent atoms are Be at (0.0000, 0.0000, 0.0000), Be at (0.0000, 0.4333, 0.0000), As at (0.0000, 0.5569, 0.5000), Pb at (0.0000, 0.0000, 0.5000), O at (0.0000, 0.5940, 0.0000), O at (0.0000, 0.8404, 0.0000) and O at (0.0484, 0.2255, 0.7011).


No. 5
HgTe2Rh: relaxed, GGA-PBE.

As for the crystal system: tetragonal. The energy above the most stable polymorph in this dataset comes out at 0.475 eV/atom.

It has space group I4/mmm (No. 139), with a = 5.7046 Å, b = 5.7046 Å, c = 6.0634 Å, α = 90.00°, β = 90.00° and γ = 90.00°. The inequivalent atoms are Hg at (0.0000, 0.0000, 0.0000), Te at (0.0000, 0.5000, 0.0000) and Rh at (0.0000, 0.0000, 0.5000).


No. 6
Ce2Ni12GeH3: relaxed, GGA-PBE.

As for the crystal system: trigonal. The value obtained for the electronic total energy is -5.46 eV/atom.

It has space group R-3m (No. 166, hexagonal axes), with a = 6.5472 Å, b = 6.5472 Å, c = 17.0839 Å, α = 90.00°, β = 90.00° and γ = 120.00°. The inequivalent atoms are Ce at (0.0000, 0.0000, 0.1004), Ni at (0.0567, 0.5283, 0.8885), Ni at (0.0830, 0.5415, 0.3233), Ge at (0.0000, 0.0000, 0.5000) and H at (0.0000, 0.5000, 0.0000).


No. 7
NiW: relaxed, GGA-PBE.

As for the calculated formation energy: 1.680 eV per atom. As for the crystal system: cubic.

It has space group F-43m (No. 216), with a = 5.3490 Å, b = 5.3490 Å, c = 5.3490 Å, α = 90.00°, β = 90.00° and γ = 90.00°. The inequivalent atoms are Ni at (0.0000, 0.0000, 0.0000) and W at (0.2500, 0.2500, 0.7500).


No. 8
BeTc2Ru: relaxed, GGA-PBE.

As for the calculated formation energy: 0.063 eV per atom. As for the crystal system: cubic.

It has space group F-43m (No. 216), with a = 5.9613 Å, b = 5.9613 Å, c = 5.9613 Å, α = 90.00°, β = 90.00° and γ = 90.00°. The inequivalent atoms are Be at (0.0000, 0.0000, 0.0000), Tc at (0.0000, 0.0000, 0.5000), Tc at (0.2500, 0.2500, 0.2500) and Ru at (0.2500, 0.2500, 0.7500).


No. 9
Nd2GeRh: relaxed, GGA-PBE.

As for the calculated formation energy: -0.629 eV per atom. As for the crystal system: tetragonal.

It has space group P4/mmm (No. 123), with a = 4.9404 Å, b = 4.9404 Å, c = 3.8466 Å, α = 90.00°, β = 90.00° and γ = 90.00°. The inequivalent atoms are Nd at (0.0000, 0.5000, 0.0000), Ge at (0.0000, 0.0000, 0.5000) and Rh at (0.5000, 0.5000, 0.5000).


No. 10
NaTiPdSe2: relaxed, GGA-PBE.

As for the crystal system: monoclinic. The value obtained for the electronic total energy is -5.15 eV/atom.

It has space group P2/c (No. 13), with a = 7.0631 Å, b = 4.9879 Å, c = 6.3537 Å, α = 90.00°, β = 101.66° and γ = 90.00°. The inequivalent atoms are Na at (0.0000, 0.1714, 0.2500), Ti at (0.5000, 0.4964, 0.7500), Pd at (0.5000, 0.0000, 0.0000) and Se at (0.2391, 0.3299, 0.9426).


No. 11
Ta3TiNi: relaxed, GGA-PBE.

As for the calculated formation energy: 1.647 eV per atom. As for the crystal system: cubic. The energy above the most stable polymorph in this dataset comes out at 0.799 eV/atom.

It has space group Pm-3m (No. 221), with a = 4.6318 Å, b = 4.6318 Å, c = 4.6318 Å, α = 90.00°, β = 90.00° and γ = 90.00°. The inequivalent atoms are Ta at (0.0000, 0.0000, 0.5000), Ti at (0.0000, 0.0000, 0.0000) and Ni at (0.5000, 0.5000, 0.5000).


No. 12
Re2SnGe: relaxed, GGA-PBE.

As for the calculated formation energy: 0.536 eV per atom. As for the crystal system: cubic. The energy above the most stable polymorph in this dataset comes out at 0.000 eV/atom.

It has space group Fm-3m (No. 225), with a = 6.3727 Å, b = 6.3727 Å, c = 6.3727 Å, α = 90.00°, β = 90.00° and γ = 90.00°. The inequivalent atoms are Re at (0.2500, 0.2500, 0.2500), Sn at (0.0000, 0.0000, 0.0000) and Ge at (0.0000, 0.0000, 0.5000).


No. 13
NdTmCd: relaxed, GGA-PBE.

As for the calculated formation energy: -0.073 eV per atom. As for the crystal system: trigonal. The energy above the most stable polymorph in this dataset comes out at 0.117 eV/atom.

It has space group P3m1 (No. 156), with a = 5.2723 Å, b = 5.2723 Å, c = 3.6661 Å, α = 90.00°, β = 90.00° and γ = 120.00°. The inequivalent atoms are Nd at (0.0000, 0.0000, 0.0000), Tm at (0.6667, 0.3333, 0.5448) and Cd at (0.3333, 0.6667, 0.3777).


No. 14
Ni2SnSb: relaxed, GGA-PBE.

As for the crystal system: tetragonal. The energy above the most stable polymorph in this dataset comes out at 0.494 eV/atom.

It has space group I-42d (No. 122), with a = 6.7112 Å, b = 6.7112 Å, c = 7.0544 Å, α = 90.00°, β = 90.00° and γ = 90.00°. The inequivalent atoms are Ni at (0.2423, 0.7500, 0.1250), Sn at (0.0000, 0.0000, 0.5000) and Sb at (0.0000, 0.0000, 0.0000).


No. 15
Ti6SnPb: relaxed, GGA-PBE.

As for the calculated formation energy: -0.178 eV per atom. As for the crystal system: orthorhombic.

It has space group Amm2 (No. 38), with a = 4.7753 Å, b = 6.0061 Å, c = 10.1803 Å, α = 90.00°, β = 90.00° and γ = 90.00°. The inequivalent atoms are Ti at (0.0000, 0.0000, 0.0000), Ti at (0.0000, 0.2436, 0.7599), Ti at (0.5000, 0.0000, 0.6874), Ti at (0.5000, 0.2477, 0.9308), Sn at (0.0000, 0.0000, 0.5106) and Pb at (0.5000, 0.0000, 0.1791).


No. 16
Pm6PtRh2I3: relaxed, GGA-PBE.

As for the crystal system: monoclinic. The value obtained for the electronic total energy is -5.50 eV/atom.

It has space group C2/m (No. 12), with a = 7.2562 Å, b = 12.5640 Å, c = 8.4271 Å, α = 90.00°, β = 106.67° and γ = 90.00°. The inequivalent atoms are Pm at (0.2222, 0.0000, 0.1851), Pm at (0.2315, 0.3303, 0.1854), Pt at (0.0000, 0.5000, 0.0000), Rh at (0.0000, 0.1666, 0.0000), I at (0.0000, 0.0000, 0.5000) and I at (0.0000, 0.3333, 0.5000).


No. 17
NbReHRu2: relaxed, GGA-PBE.

As for the crystal system: tetragonal. The energy above the most stable polymorph in this dataset comes out at 0.000 eV/atom.

It has space group P4/mmm (No. 123), with a = 3.9465 Å, b = 3.9465 Å, c = 4.0154 Å, α = 90.00°, β = 90.00° and γ = 90.00°. The inequivalent atoms are Nb at (0.0000, 0.0000, 0.0000), Re at (0.5000, 0.5000, 0.0000), H at (0.0000, 0.0000, 0.5000) and Ru at (0.0000, 0.5000, 0.5000).


No. 18
MnIn2Si: relaxed, GGA-PBE.

As for the crystal system: cubic. The energy above the most stable polymorph in this dataset comes out at 0.354 eV/atom.

It has space group Fm-3m (No. 225), with a = 6.9147 Å, b = 6.9147 Å, c = 6.9147 Å, α = 90.00°, β = 90.00° and γ = 90.00°. The inequivalent atoms are Mn at (0.0000, 0.0000, 0.0000), In at (0.2500, 0.2500, 0.2500) and Si at (0.0000, 0.0000, 0.5000).


No. 19
Ti2ReSb: relaxed, GGA-PBE.

As for the crystal system: tetragonal. The value obtained for the electronic total energy is -7.83 eV/atom.

It has space group I-42d (No. 122), with a = 7.4144 Å, b = 7.4144 Å, c = 5.5368 Å, α = 90.00°, β = 90.00° and γ = 90.00°. The inequivalent atoms are Ti at (0.2043, 0.2500, 0.1250), Re at (0.0000, 0.0000, 0.0000) and Sb at (0.0000, 0.0000, 0.5000).


No. 20
SrTcP2: relaxed, GGA-PBE.

As for the calculated formation energy: -0.572 eV per atom. As for the crystal system: trigonal. The energy above the most stable polymorph in this dataset comes out at 0.000 eV/atom.

It has space group R-3m (No. 166, hexagonal axes), with a = 4.1276 Å, b = 4.1276 Å, c = 15.7960 Å, α = 90.00°, β = 90.00° and γ = 120.00°. The inequivalent atoms are Sr at (0.0000, 0.0000, 0.0000), Tc at (0.0000, 0.0000, 0.5000) and P at (0.0000, 0.0000, 0.2075).


No. 21
AsIr2W: relaxed, GGA-PBE.

As for the calculated formation energy: -0.041 eV per atom. As for the crystal system: tetragonal.

It has space group P4/mmm (No. 123), with a = 2.8691 Å, b = 2.8691 Å, c = 7.5017 Å, α = 90.00°, β = 90.00° and γ = 90.00°. The inequivalent atoms are As at (0.0000, 0.0000, 0.0000), Ir at (0.5000, 0.5000, 0.2549) and W at (0.0000, 0.0000, 0.5000).


No. 22
KLi2Pt: relaxed, GGA-PBE.

As for the calculated formation energy: -0.170 eV per atom. As for the crystal system: monoclinic.

It has space group Pm (No. 6), with a = 2.9579 Å, b = 4.1873 Å, c = 7.7750 Å, α = 90.00°, β = 100.60° and γ = 90.00°. The inequivalent atoms are K at (0.0000, 0.0000, 0.0000), Li at (0.7111, 0.5000, 0.4105), Li at (0.8101, 0.0000, 0.6141) and Pt at (0.3467, 0.5000, 0.6886).


No. 23
La2Dy3TmSe6: relaxed, GGA-PBE.

As for the crystal system: monoclinic. The value obtained for the electronic total energy is -5.90 eV/atom.

It has space group C2/m (No. 12), with a = 18.0676 Å, b = 4.1136 Å, c = 8.3683 Å, α = 90.00°, β = 103.49° and γ = 90.00°. The inequivalent atoms are La at (0.1672, 0.0000, 0.3350), Dy at (0.0000, 0.5000, 0.5000), Dy at (0.1710, 0.0000, 0.8344), Tm at (0.0000, 0.5000, 0.0000), Se at (0.0057, 0.0000, 0.7575), Se at (0.1619, 0.5000, 0.5941) and Se at (0.1630, 0.5000, 0.0690).


No. 24
YW4: relaxed, GGA-PBE.

As for the calculated formation energy: 0.373 eV per atom. As for the crystal system: tetragonal. The energy above the most stable polymorph in this dataset comes out at 0.077 eV/atom.

It has space group I4/m (No. 87), with a = 7.4706 Å, b = 7.4706 Å, c = 3.2200 Å, α = 90.00°, β = 90.00° and γ = 90.00°. The inequivalent atoms are Y at (0.0000, 0.0000, 0.0000) and W at (0.1081, 0.3180, 0.5000).


No. 25
YHSe2N: relaxed, GGA-PBE.

As for the crystal system: tetragonal. The energy above the most stable polymorph in this dataset comes out at 0.000 eV/atom.

It has space group P4/mmm (No. 123), with a = 3.7732 Å, b = 3.7732 Å, c = 5.6666 Å, α = 90.00°, β = 90.00° and γ = 90.00°. The inequivalent atoms are Y at (0.0000, 0.0000, 0.0000), H at (0.5000, 0.5000, 0.5000), Se at (0.0000, 0.5000, 0.5000) and N at (0.5000, 0.5000, 0.0000).


No. 26
NiPbBr2: relaxed, GGA-PBE.

As for the crystal system: monoclinic. The energy above the most stable polymorph in this dataset comes out at 0.493 eV/atom.

It has space group C2/m (No. 12), with a = 6.7520 Å, b = 8.2203 Å, c = 5.2580 Å, α = 90.00°, β = 129.28° and γ = 90.00°. The inequivalent atoms are Ni at (0.0000, 0.0000, 0.0000), Pb at (0.0000, 0.5000, 0.0000) and Br at (0.2500, 0.2500, 0.5000).